Entry i
Cd2Te | GGA-PBE | optimized geometry

- Density: 6.67 g/cm3
- Fermi-level density of states: 0.18 states/eV/atom

Cell lengths 4.4290, 4.4290, 15.4967 Å; angles 90.00, 90.00, 120.00 degrees
Space group R-3m (No. 166, hexagonal axes)
Asymmetric unit:
Cd: 0.0000 0.0000 0.2214 [6 per cell]
Te: 0.0000 0.0000 0.0000 [3 per cell]

---

Entry ii
Cd2Te | GGA-PBE | optimized geometry

- Density: 7.31 g/cm3
- Fermi-level density of states: 0.37 states/eV/atom

Cell lengths 5.3592, 5.3592, 6.4336 Å; angles 90.00, 90.00, 120.00 degrees
Space group P6_3/mmc (No. 194)
Asymmetric unit:
Cd: 0.0000 0.0000 0.0000 [2 per cell]
Cd: 0.3333 0.6667 0.2500 [2 per cell]
Te: 0.3333 0.6667 0.7500 [2 per cell]

---

Entry iii
Cd2Te | GGA-PBE | optimized geometry

- Density: 6.98 g/cm3
- Fermi-level density of states: 0.34 states/eV/atom

Cell lengths 4.134, 4.134, 39.266 Å; angles 90.00, 90.00, 90.00 degrees
Space group I4_1/amd (No. 141, origin choice 2)
Asymmetric unit:
Cd: 0.000 0.250 0.111 [8 per cell]
Cd: 0.000 0.250 0.779 [8 per cell]
Te: 0.000 0.250 0.303 [8 per cell]

---

Entry iv
Cd2Te | GGA-PBE | optimized geometry

- Density: 7.41 g/cm3
- Fermi-level density of states: 0.50 states/eV/atom

Cell lengths 3.2135, 3.2135, 8.8277 Å; angles 90.00, 90.00, 120.00 degrees
Space group P-3m1 (No. 164)
Asymmetric unit:
Cd: 0.3333 0.6667 0.1498 [2 per cell]
Te: 0.0000 0.0000 0.5000 [1 per cell]

---

It comes down to entry i, which is 3.3 kJ/mol of atoms more stable than the next structure.